1.
First-principles (GGA-PBE) data for crystalline CsSc4Be2 at its relaxed geometry, as listed in Alexandria via LeMat-Bulk.

Summary:
- ΔE_f (eV/atom) = 1.15
- size of the total moment (μB/f.u.) = 0.0
- symmetry = I4/mmm
- calculated volume (Å³ per cell) = 173.0

Lattice parameters (Å, degrees): 7.327 7.327 7.327 138.18 138.18 60.62
Fractional positions:
Cs (0.000, 0.000, 0.000)
Sc (0.000, 0.500, 0.500)
Sc (0.225, 0.225, 0.000)
Sc (0.500, 0.000, 0.500)
Sc (0.775, 0.775, 0.000)
Be (0.420, 0.420, 0.000)
Be (0.580, 0.580, 0.000)

=====

2.
First-principles (GGA-PBE) data for crystalline CsScBe2 at its relaxed geometry, as listed in Alexandria via LeMat-Bulk.

Summary:
- ΔE_f (eV/atom) = 1.28
- size of the total moment (μB/f.u.) = 0.0
- symmetry = Fm-3m
- calculated volume (Å³ per cell) = 97.6

Lattice parameters (Å, degrees): 5.167 5.167 5.167 60.00 60.00 60.00
Fractional positions:
Cs (0.000, 0.000, 0.000)
Sc (0.500, 0.500, 0.500)
Be (0.250, 0.250, 0.250)
Be (0.750, 0.750, 0.750)

=====

3.
First-principles (GGA-PBE) data for crystalline CsScBeTe3 at its relaxed geometry, as listed in Alexandria via LeMat-Bulk.

Summary:
- size of the total moment (μB/f.u.) = 0.0
- symmetry = C2/m
- calculated volume (Å³ per cell) = 402.3
- E_form (uncorrected) (eV/atom) = -0.93

Lattice parameters (Å, degrees): 10.544 10.544 9.458 100.59 100.59 22.92
Fractional positions:
Cs (0.139, 0.139, 0.456)
Cs (0.861, 0.861, 0.544)
Sc (0.163, 0.163, 0.953)
Sc (0.837, 0.837, 0.047)
Be (0.481, 0.481, 0.123)
Be (0.519, 0.519, 0.877)
Te (0.039, 0.039, 0.748)
Te (0.276, 0.276, 0.197)
Te (0.399, 0.399, 0.891)
Te (0.601, 0.601, 0.109)
Te (0.724, 0.724, 0.803)
Te (0.961, 0.961, 0.252)